Record 1
VASP calculation (PBE-GGA) on a relaxed structure of Y3ScPa2N6.

abc: 5.9692 5.9692 5.9830
angles: 99.53 99.53 120.01
Fractional coordinates of all 12 atoms:
Y: 0.1645 0.8355 0.5000
Y: 0.8355 0.1645 0.5000
Y: 0.5000 0.5000 0.5000
Sc: 0.0000 0.0000 0.0000
Pa: 0.3334 0.6666 0.0000
Pa: 0.6666 0.3334 0.0000
N: 0.9224 0.5875 0.7677
N: 0.7449 0.7449 0.2360
N: 0.0776 0.4125 0.2323
N: 0.5875 0.9224 0.7677
N: 0.2551 0.2551 0.7640
N: 0.4125 0.0776 0.2323

Values from the calculation:
The value obtained for the size of the total moment is 0.00 μB per formula unit. The density of states at the Fermi level is 0.47 states/eV/atom. For the uncorrected formation energy, the calculation gives -1.697 eV per atom. As for the space-group type: C2/m, No. 12.



Record 2
VASP calculation (PBE-GGA) on a relaxed structure of PrDyPtI.

abc: 4.2143 4.2136 8.4267
angles: 90.00 104.49 120.00
Fractional coordinates of all 4 atoms:
Pr: 0.5118 0.1538 0.6808
Dy: 0.0927 0.9442 0.0521
Pt: 0.3108 0.5533 0.8794
I: 0.9627 0.3794 0.3573

Values from the calculation:
The value obtained for the size of the total moment is 0.00 μB per formula unit. The density of states at the Fermi level is 0.89 states/eV/atom. For the uncorrected formation energy, the calculation gives -1.108 eV per atom. As for the space-group type: R3m, No. 160.



Record 3
VASP calculation (PBE-GGA) on a relaxed structure of RbSi2F2.

abc: 8.4132 8.4132 2.9432
angles: 90.00 90.00 90.00
Fractional coordinates of all 10 atoms:
Si: 0.4054 0.9054 0.0000
Si: 0.9054 0.5946 0.0000
Si: 0.5946 0.0946 0.0000
Si: 0.0946 0.4054 0.0000
Rb: 0.0000 0.0000 0.0000
Rb: 0.5000 0.5000 0.0000
F: 0.1495 0.6495 0.5000
F: 0.6495 0.8505 0.5000
F: 0.8505 0.3505 0.5000
F: 0.3505 0.1495 0.5000

Values from the calculation:
The value obtained for the size of the total moment is 0.00 μB per formula unit. The density of states at the Fermi level is 0.57 states/eV/atom. For the uncorrected formation energy, the calculation gives -0.542 eV per atom. As for the space-group type: P4/mbm, No. 127.



Record 4
VASP calculation (PBE-GGA) on a relaxed structure of ScIr.

abc: 3.1364 3.1364 3.4215
angles: 90.00 90.00 90.00
Fractional coordinates of all 2 atoms:
Sc: 0.5000 0.5000 0.5000
Ir: 0.0000 0.0000 0.0000

Values from the calculation:
The value obtained for the size of the total moment is 0.00 μB per formula unit. The density of states at the Fermi level is 0.29 states/eV/atom. Its formation enthalpy at 0 K is -1.01 eV per atom. As for the space-group type: P4/mmm, No. 123.